Below is a relaxed structure of TlIn2Ir, with properties calculated at the GGA-PBE level.

Properties
Magnetization: 0.0 μB/f.u.
E_tot: -32.09 eV for the cell shown

Cell lengths 4.507, 4.515, 9.015 Å; angles 90.00, 90.00, 90.00 degrees
Space group Cmm2 (No. 35)
One atom of each set of equivalent atoms:
Tl 0.000 0.000 0.000 (multiplicity 2)
In 0.000 0.000 0.399 (multiplicity 2)
In 0.000 0.500 0.687 (multiplicity 2)
Ir 0.000 0.500 0.218 (multiplicity 2)